1.
A plane-wave DFT calculation with PBE-GGA was carried out for a relaxed Na4Hg2Pb crystal.

Properties
Fermi-level density of states (states/eV/cell): 6.5
Magnetic moment (μB per cell): 0.000
Calculated formation energy (kJ/mol of atoms): -13.85
ρ (g/cm3): 5.72
Offset from the most stable computed form (eV/atom): 0.0229
Space-group type: P2_1/m, No. 11
Raw total energy (eV per atom): -1.51

a b c (Å): 8.511 6.314 8.885
angles (deg): 90.00 121.58 90.00
Fractional coordinates of all 14 atoms:
Na  0.497  0.500  0.793
Na  0.497  0.000  0.793
Na  0.029  0.750  0.940
Na  0.503  0.500  0.207
Na  0.503  0.000  0.207
Na  0.979  0.250  0.418
Na  0.971  0.250  0.060
Na  0.021  0.750  0.582
Hg  0.341  0.250  0.418
Hg  0.798  0.750  0.146
Hg  0.659  0.750  0.582
Hg  0.202  0.250  0.854
Pb  0.774  0.250  0.636
Pb  0.226  0.750  0.364

2.
A plane-wave DFT calculation with PBE-GGA was carried out for a relaxed MgCrCd2S crystal.

Properties
Fermi-level density of states (states/eV/cell): 3.3
Magnetic moment (μB per cell): 4.412
ρ (g/cm3): 3.87
Space-group type: P4/mmm, No. 123
Raw total energy (eV per atom): -2.65

a b c (Å): 5.177 5.331 5.177
angles (deg): 90.00 90.00 90.00
Site moments in Bohr magnetons follow the coordinates.
Fractional coordinates of all 5 atoms:
Mg  0.000  0.500  0.000  -0.01
Cd  0.500  0.000  0.000  0.05
Cd  0.000  0.000  0.500  0.00
Cr  0.000  0.000  0.000  3.82
S  0.500  0.500  0.500  0.02

3.
A plane-wave DFT calculation with PBE-GGA was carried out for a relaxed MgTlO2 crystal.

Properties
Fermi-level density of states (states/eV/cell): 1.7
Magnetic moment (μB per cell): 0.000
ρ (g/cm3): 6.26
Offset from the most stable computed form (eV/atom): 0.5487
Space-group type: R-3m, No. 166
Raw total energy (eV per atom): -4.41

a b c (Å): 6.462 6.462 6.462
angles (deg): 32.48 32.48 32.48
Fractional coordinates of all 4 atoms:
Mg  0.000  0.000  0.000
Tl  0.500  0.500  0.500
O  0.895  0.895  0.895
O  0.105  0.105  0.105